[1]
The following is a GGA-PBE calculation of Pm3Tc2Ge7 after structural relaxation, from Alexandria.

Cell lengths 4.365, 4.433, 13.211 Å; angles 99.78, 90.00, 90.00 degrees
Sites, in units of the cell vectors:
Tc: 0.500 0.373 0.746
Tc: 0.500 0.627 0.254
Ge: 0.500 0.913 0.825
Ge: 0.000 0.585 0.172
Ge: 0.500 0.721 0.441
Ge: 0.500 0.279 0.559
Ge: 0.500 0.087 0.175
Ge: 0.000 0.000 0.000
Ge: 0.000 0.415 0.828
Pm: 0.000 0.185 0.369
Pm: 0.500 0.500 0.000
Pm: 0.000 0.815 0.631

SG   No. 10
Crystal system   monoclinic
Spin magnetization   0.0 μB per formula unit
Electronic total energy   -6.13 eV/atom

[2]
The following is a GGA-PBE calculation of Pm3TcGe2 after structural relaxation, from Alexandria.

Cell lengths 6.035, 5.949, 8.990 Å; angles 109.32, 109.61, 90.00 degrees
Sites, in units of the cell vectors:
Ge: 0.087 0.379 0.758
Ge: 0.329 0.121 0.242
Ge: 0.913 0.621 0.242
Ge: 0.671 0.879 0.758
Tc: 0.000 0.750 0.000
Tc: 0.000 0.250 0.000
Pm: 0.070 0.820 0.641
Pm: 0.930 0.180 0.359
Pm: 0.571 0.320 0.641
Pm: 0.500 0.750 0.000
Pm: 0.429 0.680 0.359
Pm: 0.500 0.250 0.000

SG   No. 72
Crystal system   orthorhombic
Spin magnetization   0.4 μB per formula unit
Electronic total energy   -6.10 eV/atom

[3]
The following is a GGA-PBE calculation of PmTc3Ge3 after structural relaxation, from Alexandria.

Cell lengths 6.777, 6.777, 6.777 Å; angles 90.00, 90.00, 90.00 degrees
Sites, in units of the cell vectors:
Ge: 0.000 0.250 0.500
Ge: 0.250 0.500 0.000
Ge: 0.500 0.000 0.250
Ge: 0.000 0.750 0.500
Ge: 0.500 0.000 0.750
Ge: 0.750 0.500 0.000
Tc: 0.250 0.000 0.500
Tc: 0.500 0.750 0.000
Tc: 0.750 0.000 0.500
Tc: 0.000 0.500 0.750
Tc: 0.000 0.500 0.250
Tc: 0.500 0.250 0.000
Pm: 0.500 0.500 0.500
Pm: 0.000 0.000 0.000

SG   No. 223
Crystal system   cubic
Spin magnetization   2.6 μB per formula unit
Electronic total energy   -6.74 eV/atom

[4]
The following is a GGA-PBE calculation of Pm2Tc3Ge5 after structural relaxation, from Alexandria.

Cell lengths 5.821, 8.652, 8.652 Å; angles 70.56, 70.34, 70.34 degrees
Sites, in units of the cell vectors:
Tc: 0.350 0.565 0.734
Tc: 0.250 0.000 0.000
Tc: 0.650 0.435 0.266
Tc: 0.750 0.000 0.000
Tc: 0.150 0.266 0.435
Tc: 0.850 0.734 0.565
Ge: 0.456 0.794 0.794
Ge: 0.091 0.091 0.727
Ge: 0.750 0.500 0.500
Ge: 0.909 0.909 0.273
Ge: 0.044 0.206 0.206
Ge: 0.544 0.206 0.206
Ge: 0.591 0.727 0.091
Ge: 0.956 0.794 0.794
Ge: 0.250 0.500 0.500
Ge: 0.409 0.273 0.909
Pm: 0.864 0.398 0.873
Pm: 0.136 0.602 0.127
Pm: 0.364 0.873 0.398
Pm: 0.636 0.127 0.602

SG   No. 72
Crystal system   orthorhombic
Spin magnetization   0.4 μB per formula unit
Electronic total energy   -6.86 eV/atom